Entry 1:
Entry from Alexandria via LeMat-Bulk: a geometry-optimized KTbAgO3 structure (PBE).

Lattice parameters (Å, degrees): 3.5887 7.2787 9.0382 102.87 90.00 90.00
Closest atoms and distances in Å follow each position.
Fractional coordinates of all 12 atoms:
O1 0.7500 0.4373 0.1130  3 Tb 2.24-2.33
K1 0.2500 0.1721 0.1872  5 O 2.82-3.13
Tb1 0.2500 0.6474 0.1406  6 O 2.24-2.40
O2 0.7500 0.2721 0.5865  2 Ag 2.06
O3 0.2500 0.7279 0.4135  2 Ag 2.06
O4 0.7500 0.8612 0.1643  2 Tb 2.35, 1 Ag 2.39
Ag1 0.2500 0.1308 0.5704  2 O 2.06
Tb2 0.7500 0.3526 0.8594  6 O 2.24-2.40
Ag2 0.7500 0.8692 0.4296  2 O 2.06
K2 0.7500 0.8279 0.8128  5 O 2.82-3.13
O5 0.2500 0.5627 0.8870  3 Tb 2.24-2.33
O6 0.2500 0.1388 0.8357  2 Tb 2.35, 1 Ag 2.39

Properties
Density of states at the Fermi level (states/eV/cell): 4.33
Space-group type: P2_1/m
Raw formation energy (meV per atom): -1678.6
Magnetic moment (μB per formula unit): 0.6

---

Entry 2:
Entry from Alexandria via LeMat-Bulk: a geometry-optimized NiB structure (PBE).

Lattice parameters (Å, degrees): 3.4372 3.4372 4.8350 90.00 90.00 120.00
Closest atoms and distances in Å follow each position.
Fractional coordinates of all 6 atoms:
Ni1 0.3333 0.6667 0.7465  7 B 2.05-2.26
B1 0.3333 0.6667 0.3038  7 Ni 2.05-2.26
B2 0.0000 0.0000 0.6371  7 Ni 2.05-2.26
Ni2 0.6667 0.3333 0.4132  7 B 2.05-2.26
Ni3 0.0000 0.0000 0.0799  7 B 2.05-2.26
B3 0.6667 0.3333 0.9705  7 Ni 2.05-2.26

Properties
Density of states at the Fermi level (states/eV/cell): 3.69
Space-group type: R3m
Raw total energy (eV/cell): -36.6
Magnetic moment (μB per formula unit): 0.0

---

Entry 3:
Entry from Alexandria via LeMat-Bulk: a geometry-optimized Gd2ZnOs structure (PBE).

Lattice parameters (Å, degrees): 4.0118 4.0118 9.7502 78.13 78.13 60.00
Closest atoms and distances in Å follow each position.
Fractional coordinates of all 4 atoms:
Gd1 0.1141 0.1141 0.6578  3 Os 2.76
Zn1 0.0000 0.0000 0.0000  2 Gd 3.24
Gd2 0.8859 0.8859 0.3422  3 Os 2.76
Os1 0.5000 0.5000 0.5000  6 Gd 2.76

Properties
Density of states at the Fermi level (states/eV/cell): 2.79
Space-group type: R-3m
Raw total energy (eV/cell): -39.7
Magnetic moment (μB per formula unit): 14.4

---

Entry 4:
Entry from Alexandria via LeMat-Bulk: a geometry-optimized Er2AlCu2 structure (PBE).

Lattice parameters (Å, degrees): 5.4737 5.4737 7.7945 78.10 78.10 60.03
Closest atoms and distances in Å follow each position.
Fractional coordinates of all 10 atoms:
Al1 0.1512 0.8488 0.2500  4 Cu 2.58-2.59
Er1 0.5053 0.7936 0.8493  6 Cu 2.93-3.01, 2 Al 3.23
Er2 0.4947 0.2064 0.1507  6 Cu 2.93-3.01, 2 Al 3.23
Cu1 0.2712 0.9989 0.5013  1 Cu 2.51, 2 Al 2.58-2.59
Er3 0.2064 0.4947 0.6507  6 Cu 2.93-3.01, 2 Al 3.23
Cu2 0.7288 0.0011 0.4987  1 Cu 2.51, 2 Al 2.58-2.59
Cu3 0.9989 0.2712 0.0013  1 Cu 2.51, 2 Al 2.58-2.59
Er4 0.7936 0.5053 0.3493  6 Cu 2.93-3.01, 2 Al 3.23
Al2 0.8488 0.1512 0.7500  4 Cu 2.58-2.59
Cu4 0.0011 0.7288 0.9987  1 Cu 2.51, 2 Al 2.58-2.59

Properties
Density of states at the Fermi level (states/eV/cell): 6.18
Space-group type: C2/c
Raw total energy (eV/cell): -45.9
Magnetic moment (μB per formula unit): 0.0

---

Entry 5:
Entry from Alexandria via LeMat-Bulk: a geometry-optimized YScTlCl2 structure (PBE).

Lattice parameters (Å, degrees): 5.5429 5.8226 5.5429 90.00 90.00 90.00
Closest atoms and distances in Å follow each position.
Fractional coordinates of all 5 atoms:
Y1 0.5000 0.5000 0.5000  4 Sc 3.92, 8 Cl 4.02
Cl1 0.5000 0.0000 0.0000  2 Tl 2.77
Tl1 0.0000 0.0000 0.0000  4 Cl 2.77, 2 Sc 2.91
Sc1 0.0000 0.5000 0.0000  2 Tl 2.91
Cl2 0.0000 0.0000 0.5000  2 Tl 2.77

Properties
Density of states at the Fermi level (states/eV/cell): 4.02
Space-group type: P4/mmm
Raw formation energy (meV per atom): 141.1
Magnetic moment (μB per formula unit): 1.0

---

Entry 6:
Entry from Alexandria via LeMat-Bulk: a geometry-optimized PrGd2Y structure (PBE).

Lattice parameters (Å, degrees): 3.6194 3.6194 10.2054 90.00 90.00 90.00
Closest atoms and distances in Å follow each position.
Fractional coordinates of all 4 atoms:
Gd1 0.0000 0.0000 0.7532  4 Y 3.59, 4 Gd 3.62, 4 Pr 3.64
Gd2 0.0000 0.0000 0.2468  4 Y 3.59, 4 Gd 3.62, 4 Pr 3.64
Y1 0.5000 0.5000 0.0000  8 Gd 3.59, 4 Y 3.62
Pr1 0.5000 0.5000 0.5000  4 Pr 3.62, 8 Gd 3.64

Properties
Density of states at the Fermi level (states/eV/cell): 7.77
Space-group type: P4/mmm
Raw total energy (eV/cell): -39.3
Magnetic moment (μB per formula unit): 14.5

---

Entry 7:
Entry from Alexandria via LeMat-Bulk: a geometry-optimized LaAsBr2 structure (PBE).

Lattice parameters (Å, degrees): 6.1725 6.1725 4.7481 66.52 66.52 112.71
Closest atoms and distances in Å follow each position.
Fractional coordinates of all 4 atoms:
As1 0.0000 0.5000 0.5000  4 Br 3.05, 2 La 3.30
Br1 0.0000 0.0000 0.0000  2 La 3.05, 2 As 3.05, 2 Br 3.30
Br2 0.5000 0.5000 0.0000  2 As 3.05, 2 La 3.05, 2 Br 3.30
La1 0.5000 0.0000 0.5000  4 Br 3.05, 2 As 3.30

Properties
Density of states at the Fermi level (states/eV/cell): 0.96
Space-group type: Fmmm
Raw formation energy (meV per atom): -984.3
Magnetic moment (μB per formula unit): 0.0

---

Entry 8:
Entry from Alexandria via LeMat-Bulk: a geometry-optimized KMnInSn2 structure (PBE).

Lattice parameters (Å, degrees): 5.0614 5.0614 5.1664 90.00 90.00 90.00
Closest atoms and distances in Å follow each position.
Fractional coordinates of all 5 atoms:
Sn1 0.0000 0.5000 0.0000  2 Mn 2.53
K1 0.5000 0.5000 0.5000  4 In 3.58, 8 Sn 3.62
In1 0.0000 0.0000 0.5000  2 Mn 2.58
Sn2 0.5000 0.0000 0.0000  2 Mn 2.53
Mn1 0.0000 0.0000 0.0000  4 Sn 2.53, 2 In 2.58

Properties
Density of states at the Fermi level (states/eV/cell): 3.40
Space-group type: P4/mmm
Raw total energy (eV/cell): -20.9
Magnetic moment (μB per formula unit): 0.9

---

> Among the records above, which one has the lowest density of states at the Fermi level?

LaAsBr2